Version w
! TmPaAsO | OQMD | PBE | relaxed; values from VASP
&SYSTEM
  ibrav = 0, nat = 8, ntyp = 4
/
ATOMIC_SPECIES
Tm 168.93 Tm.upf
Pa 231.04 Pa.upf
As 74.92 As.upf
O 16.00 O.upf
ATOMIC_POSITIONS angstrom
Tm 1.047 3.142 0.000
Tm 3.142 1.047 0.000
Pa 1.047 1.047 3.299
Pa 3.142 3.142 5.777
As 1.047 1.047 7.086
As 3.142 3.142 1.990
O 1.047 3.142 4.538
O 3.142 1.047 4.538
CELL_PARAMETERS angstrom
4.190 0.000 0.000
0.000 4.190 0.000
0.000 0.000 9.076
! - crystal system = tetragonal
! - space-group type = P4/nmm
! - size of the total moment (μB per formula unit) = 1.08
! - ρ (g/cm3) = 10.2

=====

Version x
! TmPaAsO | OQMD | PBE | relaxed; values from VASP
&SYSTEM
  ibrav = 0, nat = 8, ntyp = 4
/
ATOMIC_SPECIES
Tm 168.93 Tm.upf
Pa 231.04 Pa.upf
As 74.92 As.upf
O 16.00 O.upf
ATOMIC_POSITIONS angstrom
Tm 1.049 1.049 0.893
Tm 3.146 3.146 8.324
Pa 1.049 3.146 4.609
Pa 3.146 1.049 4.609
As 1.049 1.049 6.704
As 3.146 3.146 2.513
O 1.049 3.146 0.000
O 3.146 1.049 0.000
CELL_PARAMETERS angstrom
4.195 0.000 0.000
0.000 4.195 0.000
0.000 0.000 9.217
! - crystal system = tetragonal
! - space-group type = P4/nmm
! - size of the total moment (μB per formula unit) = 0.38
! - ρ (g/cm3) = 10.1

=====

Relative to the most stable one, in meV/atom, the structures come out at version w 494; version x 0.

=====

Version w
! ZrPaAsO | OQMD | PBE | relaxed; values from VASP
&SYSTEM
  ibrav = 0, nat = 8, ntyp = 4
/
ATOMIC_SPECIES
Zr 91.22 Zr.upf
Pa 231.04 Pa.upf
As 74.92 As.upf
O 16.00 O.upf
ATOMIC_POSITIONS angstrom
Zr 1.044 1.044 0.872
Zr 3.133 3.133 7.660
Pa 1.044 3.133 4.266
Pa 3.133 1.044 4.266
As 1.044 1.044 6.378
As 3.133 3.133 2.154
O 1.044 3.133 0.000
O 3.133 1.044 0.000
CELL_PARAMETERS angstrom
4.178 0.000 0.000
0.000 4.178 0.000
0.000 0.000 8.532
! - crystal system = tetragonal
! - space-group type = P4/nmm
! - size of the total moment (μB per formula unit) = 0.58
! - ρ (g/cm3) = 9.2

=====

Version x
! ZrPaAsO | OQMD | PBE | relaxed; values from VASP
&SYSTEM
  ibrav = 0, nat = 8, ntyp = 4
/
ATOMIC_SPECIES
Zr 91.22 Zr.upf
Pa 231.04 Pa.upf
As 74.92 As.upf
O 16.00 O.upf
ATOMIC_POSITIONS angstrom
Zr 1.019 3.057 0.000
Zr 3.057 1.019 0.000
Pa 1.019 1.019 3.271
Pa 3.057 3.057 5.865
As 1.019 1.019 7.193
As 3.057 3.057 1.944
O 1.019 3.057 4.568
O 3.057 1.019 4.568
CELL_PARAMETERS angstrom
4.076 0.000 0.000
0.000 4.076 0.000
0.000 0.000 9.136
! - crystal system = tetragonal
! - space-group type = P4/nmm
! - size of the total moment (μB per formula unit) = 1.00
! - ρ (g/cm3) = 9.0

=====

Relative to the most stable one, in meV/atom, the structures come out at version w 635; version x 0.

=====

Version w
! TaAsPbO | OQMD | PBE | relaxed; values from VASP
&SYSTEM
  ibrav = 0, nat = 8, ntyp = 4
/
ATOMIC_SPECIES
Ta 180.95 Ta.upf
As 74.92 As.upf
Pb 207.20 Pb.upf
O 16.00 O.upf
ATOMIC_POSITIONS angstrom
Ta 1.042 3.127 0.000
Ta 3.127 1.042 0.000
As 1.042 1.042 1.563
As 3.127 3.127 8.358
Pb 1.042 1.042 6.092
Pb 3.127 3.127 3.828
O 1.042 3.127 4.960
O 3.127 1.042 4.960
CELL_PARAMETERS angstrom
4.170 0.000 0.000
0.000 4.170 0.000
0.000 0.000 9.921
! - crystal system = tetragonal
! - space-group type = P4/nmm
! - size of the total moment (μB per formula unit) = 0.00
! - ρ (g/cm3) = 9.2

=====

Version x
! TaAsPbO | OQMD | PBE | relaxed; values from VASP
&SYSTEM
  ibrav = 0, nat = 8, ntyp = 4
/
ATOMIC_SPECIES
Ta 180.95 Ta.upf
As 74.92 As.upf
Pb 207.20 Pb.upf
O 16.00 O.upf
ATOMIC_POSITIONS angstrom
Ta 0.000 1.043 0.000
Ta 0.000 7.975 2.612
As 0.000 1.511 2.608
As 0.000 7.507 5.220
Pb 1.894 3.708 2.681
Pb 1.894 5.310 0.069
O 1.894 1.488 5.222
O 1.894 7.530 2.610
CELL_PARAMETERS angstrom
3.789 0.000 0.000
0.000 9.018 0.000
0.000 0.000 5.223
! - crystal system = orthorhombic
! - space-group type = Pmc2_1
! - size of the total moment (μB per formula unit) = 0.00
! - ρ (g/cm3) = 8.9

=====

Relative to the most stable one, in meV/atom, the structures come out at version w 339; version x 0.

=====

Version w
! TcAsPbO | OQMD | PBE | relaxed; values from VASP
&SYSTEM
  ibrav = 0, nat = 8, ntyp = 4
/
ATOMIC_SPECIES
Tc 98.00 Tc.upf
As 74.92 As.upf
Pb 207.20 Pb.upf
O 16.00 O.upf
ATOMIC_POSITIONS angstrom
Tc 0.957 2.872 0.000
Tc 2.872 0.957 0.000
As 0.957 0.957 1.687
As 2.872 2.872 9.124
Pb 0.957 0.957 6.675
Pb 2.872 2.872 4.136
O 0.957 2.872 5.405
O 2.872 0.957 5.405
CELL_PARAMETERS angstrom
3.829 0.000 0.000
0.000 3.829 0.000
0.000 0.000 10.810
! - crystal system = tetragonal
! - space-group type = P4/nmm
! - size of the total moment (μB per formula unit) = 0.23
! - ρ (g/cm3) = 8.3

=====

Version x
! TcAsPbO | OQMD | PBE | relaxed; values from VASP
&SYSTEM
  ibrav = 0, nat = 8, ntyp = 4
/
ATOMIC_SPECIES
Tc 98.00 Tc.upf
As 74.92 As.upf
Pb 207.20 Pb.upf
O 16.00 O.upf
ATOMIC_POSITIONS angstrom
Tc 0.000 0.883 0.000
Tc 0.000 5.192 4.021
As 0.000 1.005 2.418
As 0.000 5.070 6.440
Pb 1.690 1.751 4.798
Pb 1.690 4.324 0.776
O 1.690 1.622 7.579
O 1.690 4.453 3.558
CELL_PARAMETERS angstrom
3.381 0.000 0.000
0.000 6.075 0.000
0.000 0.000 8.043
! - crystal system = orthorhombic
! - space-group type = Pmc2_1
! - size of the total moment (μB per formula unit) = 0.01
! - ρ (g/cm3) = 8.0

=====

Version y
! TcAsPbO | OQMD | PBE | relaxed; values from VASP
&SYSTEM
  ibrav = 0, nat = 8, ntyp = 4
/
ATOMIC_SPECIES
Tc 98.00 Tc.upf
As 74.92 As.upf
Pb 207.20 Pb.upf
O 16.00 O.upf
ATOMIC_POSITIONS angstrom
Tc 0.000 0.015 0.000
Tc 0.000 7.976 2.914
As 1.578 1.416 4.372
As 1.578 6.575 1.457
Pb 1.578 3.338 1.528
Pb 1.578 4.653 4.442
O 0.000 1.413 1.470
O 0.000 6.578 4.385
CELL_PARAMETERS angstrom
3.156 0.000 0.000
0.000 7.991 0.000
0.000 0.000 5.828
! - crystal system = orthorhombic
! - space-group type = Pmc2_1
! - size of the total moment (μB per formula unit) = 0.08
! - ρ (g/cm3) = 8.9

=====

Version z
! TcAsPbO | OQMD | PBE | relaxed; values from VASP
&SYSTEM
  ibrav = 0, nat = 8, ntyp = 4
/
ATOMIC_SPECIES
Tc 98.00 Tc.upf
As 74.92 As.upf
Pb 207.20 Pb.upf
O 16.00 O.upf
ATOMIC_POSITIONS angstrom
Tc 1.054 1.054 0.372
Tc 3.163 3.163 9.498
As 1.054 1.054 2.636
As 3.163 3.163 7.235
Pb 1.054 3.163 4.935
Pb 3.163 1.054 4.935
O 1.054 3.163 0.000
O 3.163 1.054 0.000
CELL_PARAMETERS angstrom
4.218 0.000 0.000
0.000 4.218 0.000
0.000 0.000 9.871
! - crystal system = tetragonal
! - space-group type = P4/nmm
! - size of the total moment (μB per formula unit) = 0.96
! - ρ (g/cm3) = 7.5

=====

Relative to the most stable one, in meV/atom, the structures come out at version w 0; version x 176; version y 52; version z 489.

=====

Version w
! ZnAsPbO | OQMD | PBE | relaxed; values from VASP
&SYSTEM
  ibrav = 0, nat = 8, ntyp = 4
/
ATOMIC_SPECIES
Zn 65.41 Zn.upf
As 74.92 As.upf
Pb 207.20 Pb.upf
O 16.00 O.upf
ATOMIC_POSITIONS angstrom
Zn 0.000 1.267 0.000
Zn 0.000 5.723 3.725
As 0.000 0.861 2.483
As 0.000 6.130 6.208
Pb 1.576 2.615 4.474
Pb 1.576 4.375 0.749
O 1.576 2.398 7.018
O 1.576 4.593 3.294
CELL_PARAMETERS angstrom
3.151 0.000 0.000
0.000 6.990 0.000
0.000 0.000 7.450
! - crystal system = orthorhombic
! - space-group type = Pmc2_1
! - ρ (g/cm3) = 7.4

=====

Version x
! ZnAsPbO | OQMD | PBE | relaxed; values from VASP
&SYSTEM
  ibrav = 0, nat = 8, ntyp = 4
/
ATOMIC_SPECIES
Zn 65.41 Zn.upf
As 74.92 As.upf
Pb 207.20 Pb.upf
O 16.00 O.upf
ATOMIC_POSITIONS angstrom
Zn 0.000 0.796 0.000
Zn 0.000 5.827 2.889
As 2.193 1.797 5.217
As 2.193 4.826 2.328
Pb 2.193 1.916 2.385
Pb 2.193 4.708 5.275
O 0.000 0.990 2.022
O 0.000 5.633 4.912
CELL_PARAMETERS angstrom
4.386 0.000 0.000
0.000 6.624 0.000
0.000 0.000 5.779
! - crystal system = orthorhombic
! - space-group type = Pmc2_1
! - ρ (g/cm3) = 7.2

=====

Relative to the most stable one, in meV/atom, the structures come out at version w 19; version x 0.

=====

Version w
! ZnAsPbO | OQMD | PBE | relaxed; values from VASP
&SYSTEM
  ibrav = 0, nat = 8, ntyp = 4
/
ATOMIC_SPECIES
Zn 65.41 Zn.upf
As 74.92 As.upf
Pb 207.20 Pb.upf
O 16.00 O.upf
ATOMIC_POSITIONS angstrom
Zn 1.102 1.102 0.038
Zn 3.307 3.307 9.031
As 1.102 1.102 2.721
As 3.307 3.307 6.348
Pb 1.102 3.307 4.535
Pb 3.307 1.102 4.535
O 1.102 3.307 0.000
O 3.307 1.102 0.000
CELL_PARAMETERS angstrom
4.410 0.000 0.000
0.000 4.410 0.000
0.000 0.000 9.070
! - crystal system = tetragonal
! - space-group type = P4/nmm
! - ρ (g/cm3) = 6.8

=====

Version x
! ZnAsPbO | OQMD | PBE | relaxed; values from VASP
&SYSTEM
  ibrav = 0, nat = 8, ntyp = 4
/
ATOMIC_SPECIES
Zn 65.41 Zn.upf
As 74.92 As.upf
Pb 207.20 Pb.upf
O 16.00 O.upf
ATOMIC_POSITIONS angstrom
Zn 0.987 2.962 0.000
Zn 2.962 0.987 0.000
As 0.987 0.987 1.620
As 2.962 2.962 8.437
Pb 0.987 0.987 6.263
Pb 2.962 2.962 3.794
O 0.987 2.962 5.029
O 2.962 0.987 5.029
CELL_PARAMETERS angstrom
3.950 0.000 0.000
0.000 3.950 0.000
0.000 0.000 10.057
! - crystal system = tetragonal
! - space-group type = P4/nmm
! - ρ (g/cm3) = 7.7

=====

Relative to the most stable one, in meV/atom, the structures come out at version w 333; version x 0.

=====

Version w
! ZrAsPbO | OQMD | PBE | relaxed; values from VASP
&SYSTEM
  ibrav = 0, nat = 8, ntyp = 4
/
ATOMIC_SPECIES
Zr 91.22 Zr.upf
As 74.92 As.upf
Pb 207.20 Pb.upf
O 16.00 O.upf
ATOMIC_POSITIONS angstrom
Zr 0.000 1.191 0.000
Zr 0.000 7.514 3.136
As 1.932 2.961 6.062
As 1.932 5.744 2.927
Pb 1.932 2.882 2.917
Pb 1.932 5.823 6.052
O 0.000 0.119 1.661
O 0.000 8.586 4.797
CELL_PARAMETERS angstrom
3.864 0.000 0.000
0.000 8.705 0.000
0.000 0.000 6.272
! - crystal system = orthorhombic
! - space-group type = Pmc2_1
! - size of the total moment (μB per formula unit) = 0.01
! - ρ (g/cm3) = 6.1

=====

Version x
! ZrAsPbO | OQMD | PBE | relaxed; values from VASP
&SYSTEM
  ibrav = 0, nat = 8, ntyp = 4
/
ATOMIC_SPECIES
Zr 91.22 Zr.upf
As 74.92 As.upf
Pb 207.20 Pb.upf
O 16.00 O.upf
ATOMIC_POSITIONS angstrom
Zr 1.042 1.042 0.774
Zr 3.127 3.127 8.559
As 1.042 1.042 7.124
As 3.127 3.127 2.209
Pb 1.042 3.127 4.666
Pb 3.127 1.042 4.666
O 1.042 3.127 0.000
O 3.127 1.042 0.000
CELL_PARAMETERS angstrom
4.169 0.000 0.000
0.000 4.169 0.000
0.000 0.000 9.333
! - crystal system = tetragonal
! - space-group type = P4/nmm
! - size of the total moment (μB per formula unit) = 0.00
! - ρ (g/cm3) = 8.0

=====

Version y
! ZrAsPbO | OQMD | PBE | relaxed; values from VASP
&SYSTEM
  ibrav = 0, nat = 8, ntyp = 4
/
ATOMIC_SPECIES
Zr 91.22 Zr.upf
As 74.92 As.upf
Pb 207.20 Pb.upf
O 16.00 O.upf
ATOMIC_POSITIONS angstrom
Zr 1.126 3.377 0.000
Zr 3.377 1.126 0.000
As 1.126 1.126 1.432
As 3.377 3.377 7.222
Pb 1.126 1.126 5.287
Pb 3.377 3.377 3.367
O 1.126 3.377 4.327
O 3.377 1.126 4.327
CELL_PARAMETERS angstrom
4.503 0.000 0.000
0.000 4.503 0.000
0.000 0.000 8.655
! - crystal system = tetragonal
! - space-group type = P4/nmm
! - size of the total moment (μB per formula unit) = 0.01
! - ρ (g/cm3) = 7.4

=====

Relative to the most stable one, in meV/atom, the structures come out at version w 0; version x 152; version y 469.

=====

Version w
! As2PdO | OQMD | PBE | relaxed; values from VASP
&SYSTEM
  ibrav = 0, nat = 8, ntyp = 3
/
ATOMIC_SPECIES
As 74.92 As.upf
Pd 106.42 Pd.upf
O 16.00 O.upf
ATOMIC_POSITIONS angstrom
As 0.969 0.969 0.991
As 0.969 0.969 5.926
As 2.906 2.906 2.698
As 2.906 2.906 7.632
Pd 0.969 2.906 4.312
Pd 2.906 0.969 4.312
O 0.969 2.906 0.000
O 2.906 0.969 0.000
CELL_PARAMETERS angstrom
3.874 0.000 0.000
0.000 3.874 0.000
0.000 0.000 8.623
! - crystal system = tetragonal
! - space-group type = P4/nmm
! - ρ (g/cm3) = 7.0

=====

Version x
! As2PdO | OQMD | PBE | relaxed; values from VASP
&SYSTEM
  ibrav = 0, nat = 8, ntyp = 3
/
ATOMIC_SPECIES
As 74.92 As.upf
Pd 106.42 Pd.upf
O 16.00 O.upf
ATOMIC_POSITIONS angstrom
As 1.084 1.084 1.447
As 1.084 3.253 0.000
As 3.253 1.084 0.000
As 3.253 3.253 5.965
Pd 1.084 1.084 4.056
Pd 3.253 3.253 3.356
O 1.084 3.253 3.706
O 3.253 1.084 3.706
CELL_PARAMETERS angstrom
4.337 0.000 0.000
0.000 4.337 0.000
0.000 0.000 7.412
! - crystal system = tetragonal
! - space-group type = P4/nmm
! - ρ (g/cm3) = 6.5

=====

Version y
! As2PdO | OQMD | PBE | relaxed; values from VASP
&SYSTEM
  ibrav = 0, nat = 8, ntyp = 3
/
ATOMIC_SPECIES
As 74.92 As.upf
Pd 106.42 Pd.upf
O 16.00 O.upf
ATOMIC_POSITIONS angstrom
As 0.000 1.146 0.000
As 0.000 1.268 3.746
As 0.000 5.189 0.613
As 0.000 5.311 3.133
Pd 1.817 2.146 1.137
Pd 1.817 4.311 4.271
O 1.817 1.903 3.515
O 1.817 4.554 0.381
CELL_PARAMETERS angstrom
3.634 0.000 0.000
0.000 6.457 0.000
0.000 0.000 6.267
! - crystal system = orthorhombic
! - space-group type = Pmc2_1
! - ρ (g/cm3) = 6.1

=====

Relative to the most stable one, in meV/atom, the structures come out at version w 0; version x 360; version y 24.